Record 1
# CaCoPb2, optimized geometry, DFT GGA-PBE
data_CaCoPb2
_symmetry_space_group_name_H-M 'P 1 2/m 1'
_symmetry_Int_Tables_number 10
_cell_length_a 3.738
_cell_length_b 4.448
_cell_length_c 6.169
_cell_angle_alpha 90.00
_cell_angle_beta 102.02
_cell_angle_gamma 90.00
loop_
_symmetry_equiv_pos_as_xyz
'x,y,z'
'-x,-y,-z'
'-x,y,-z'
'x,-y,z'
loop_
_atom_site_label
_atom_site_fract_x
_atom_site_fract_y
_atom_site_fract_z
Ca1 0.000 0.000 0.000
Co1 0.500 0.000 0.500
Pb1 0.348 0.500 0.717
# ΔE_f: 0.10 eV per atom
# Calculated volume: 100.32 Å³ per cell
# Total magnetization: 1.14 μB/f.u.
# Fermi-level density of states: 4.85 states/eV per cell

=====

Record 2
# Ca5CoPb3, optimized geometry, DFT GGA-PBE
data_Ca5CoPb3
_symmetry_space_group_name_H-M 'P 63/m c m'
_symmetry_Int_Tables_number 193
_symmetry_space_group_name_Hall '-P 6c 2'
_cell_length_a 9.5715
_cell_length_b 9.5715
_cell_length_c 6.6684
_cell_angle_alpha 90.00
_cell_angle_beta 90.00
_cell_angle_gamma 120.00
loop_
_atom_site_label
_atom_site_fract_x
_atom_site_fract_y
_atom_site_fract_z
Ca1 0.0000 0.2500 0.2500
Ca2 0.3333 0.6667 0.0000
Co1 0.0000 0.0000 0.0000
Pb1 0.0000 0.4015 0.7500
# ΔE_f: -0.29 eV per atom
# Calculated volume: 529.07 Å³ per cell
# Total magnetization: 1.36 μB/f.u.
# Fermi-level density of states: 13.53 states/eV per cell